ZnTc2: optimized geometry, PBE-GGA.

POSCAR file:
```
ZnTc2
1.0
-2.115 0.078 -4.714
0.594 -0.751 -5.078
-1.974 -5.958 -1.120
Zn Tc
2 4
Cartesian
-2.630 -4.220 -9.961 Zn
-2.281 -5.760 -3.851 Zn
-0.028 -0.081 -0.023 Tc
-1.459 -1.996 -6.315 Tc
-1.161 -2.246 -3.522 Tc
-2.346 -4.482 -7.248 Tc
```

Computed properties:
* energy relative to the lowest polymorph listed for this composition: 17.1 kJ/mol of atoms
* calculated volume: 87 Å³/cell



ZnTc3: optimized geometry, PBE-GGA.

POSCAR file:
```
ZnTc3
1.0
2.657 0.000 0.000
-0.886 5.030 0.000
-0.886 -2.515 4.356
Tc Zn
3 1
Cartesian
0.000 0.000 0.000 Tc
0.886 2.515 0.000 Tc
-0.886 1.257 2.178 Tc
0.886 -1.257 2.178 Zn
```

Computed properties:
* calculated volume: 58 Å³/cell



Zn3Tc: optimized geometry, PBE-GGA.

POSCAR file:
```
Zn3Tc
1.0
-0.160 0.934 2.528
1.435 -2.278 -0.202
7.274 4.696 -1.276
Tc Zn
1 3
Cartesian
0.000 0.000 0.000 Tc
6.101 2.855 0.205 Zn
3.637 2.348 -0.638 Zn
2.449 0.498 0.845 Zn
```

Computed properties:
* calculated volume: 59 Å³/cell



Zn3Tc: optimized geometry, PBE-GGA.

POSCAR file:
```
Zn3Tc
1.0
-0.742 -0.092 -2.549
4.030 -0.143 -1.168
-0.473 -5.207 -0.993
Tc Zn
1 3
Cartesian
0.000 0.000 0.000 Tc
1.172 -4.076 -3.003 Zn
-0.608 -2.649 -1.771 Zn
1.643 -1.366 -1.708 Zn
```

Computed properties:
* calculated volume: 58 Å³/cell



Zn15Tc: optimized geometry, PBE-GGA.

POSCAR file:
```
Zn15Tc
1.0
-0.578 4.913 -2.480
-2.610 -4.442 -2.019
-7.002 1.774 5.148
Zn Tc
15 1
Cartesian
-3.501 0.887 2.574 Zn
-1.317 -2.204 -1.032 Zn
-5.377 3.569 -0.902 Zn
-2.880 -1.973 -3.238 Zn
-3.801 3.336 1.322 Zn
-1.601 0.205 -2.248 Zn
-5.091 1.140 0.324 Zn
-2.632 3.805 -1.140 Zn
-6.196 4.708 1.480 Zn
-3.950 1.562 -2.159 Zn
-7.514 2.465 0.461 Zn
-2.340 1.324 0.112 Zn
-5.904 2.227 2.732 Zn
-3.749 -0.864 -0.837 Zn
-7.118 -0.010 1.640 Zn
0.000 0.000 0.000 Tc
```

Computed properties:
* energy relative to the lowest polymorph listed for this composition: 0.0 kJ/mol of atoms
* calculated volume: 235 Å³/cell



ZnTc2: optimized geometry, PBE-GGA.

POSCAR file:
```
ZnTc2
1.0
0.988 4.108 1.147
-3.018 -2.235 2.250
3.928 -1.892 3.389
Zn Tc
2 4
Cartesian
0.982 -0.473 0.847 Zn
2.946 -1.419 2.542 Zn
-0.207 1.926 1.636 Tc
1.477 1.115 3.088 Tc
0.422 -1.134 3.698 Tc
2.105 -1.945 5.151 Tc
```

Computed properties:
* energy relative to the lowest polymorph listed for this composition: 19.4 kJ/mol of atoms
* calculated volume: 92 Å³/cell



ZnTc3: optimized geometry, PBE-GGA.

POSCAR file:
```
ZnTc3
1.0
-2.410 1.097 0.938
-1.605 -0.040 -4.076
-1.684 -4.304 0.705
Tc Zn
3 1
Cartesian
-0.008 -0.022 0.004 Tc
-2.041 -1.588 0.819 Tc
-3.404 -3.040 -0.985 Tc
-1.369 -1.467 -1.801 Zn
```

Computed properties:
* calculated volume: 58 Å³/cell



Zn5Tc4: optimized geometry, PBE-GGA.

POSCAR file:
```
Zn5Tc4
1.0
-0.948 7.513 1.071
-1.983 4.479 -5.873
-4.963 -0.780 1.080
Zn Tc
10 8
Cartesian
-2.905 5.218 -3.465 Zn
-1.851 1.184 -1.538 Zn
-1.897 5.004 1.011 Zn
-4.989 5.994 -0.257 Zn
-5.094 2.515 -3.254 Zn
-4.014 1.728 1.140 Zn
-0.977 3.997 -1.601 Zn
-4.435 7.605 -2.661 Zn
-1.953 7.995 -3.202 Zn
-3.458 3.607 -1.061 Zn
0.000 0.000 0.000 Tc
-2.482 -0.390 0.540 Tc
-2.558 6.235 -1.138 Tc
-2.515 2.685 -3.506 Tc
-1.579 2.487 0.652 Tc
-5.335 4.977 -2.583 Tc
-4.430 1.014 -1.287 Tc
-4.332 4.245 1.499 Tc
```

Computed properties:
* energy relative to the lowest polymorph listed for this composition: 18.4 kJ/mol of atoms
* calculated volume: 260 Å³/cell



no.,magnetic moment (μB/cell),energy of formation (eV/atom),D(E_F) (states/eV/f.u.)
1,0.00,0.1404,2.86
2,0.00,0.2435,5.58
3,0.00,0.1170,2.08
4,0.00,0.0687,2.08
5,0.00,0.0065,5.82
6,0.00,0.1645,1.18
7,0.00,0.0979,3.21
8,6.55,0.2917,9.37